This record from the Alexandria database describes an optimized crystal structure of Nd3Dy5Er2. The functional is PBE.

Results
E_form	0.193	eV per atom
total magnetization	0.0	μB/f.u.
D(E_F)	1.74	states/eV/atom

a = 9.613 Å, b = 9.613 Å, c = 9.420 Å
α = 108.39°, β = 108.39°, γ = 112.20°
Fractional coordinates of all 20 atoms:
Nd 0.019 0.267 0.045
Nd 0.234 0.766 0.750
Nd 0.267 0.019 0.545
Nd 0.733 0.981 0.455
Nd 0.766 0.234 0.250
Nd 0.981 0.733 0.955
Dy 0.027 0.973 0.750
Dy 0.152 0.375 0.773
Dy 0.272 0.728 0.250
Dy 0.375 0.152 0.273
Dy 0.469 0.531 0.250
Dy 0.531 0.469 0.750
Dy 0.625 0.848 0.727
Dy 0.728 0.272 0.750
Dy 0.848 0.625 0.227
Dy 0.973 0.027 0.250
Er 0.231 0.464 0.453
Er 0.464 0.231 0.953
Er 0.536 0.769 0.047
Er 0.769 0.536 0.547